Entry from the Alexandria database: a relaxed RbNaSnSe2 crystal (PBE).

## Properties
Offset from the most stable computed form ... 0.0 meV per atom
Formation energy without anion corrections ... -794 meV/atom

Cell: 8.3298 8.3298 9.7943 Å, 92.72 92.72 33.05°
With the nearest neighbours (Å) after each atom.
Element x y z (fractional)
Rb (0.1676, 0.1676, 0.1764)  5 Se 3.39-3.80, 1 Na 3.79
Rb (0.8324, 0.8324, 0.8236)  5 Se 3.39-3.80, 1 Na 3.79
Na (0.1944, 0.1944, 0.5626)  4 Se 2.76-2.92
Na (0.8056, 0.8056, 0.4374)  4 Se 2.76-2.92
Sn (0.4391, 0.4391, 0.2853)  3 Se 2.74-2.94
Sn (0.5609, 0.5609, 0.7147)  3 Se 2.74-2.94
Se (0.1468, 0.1468, 0.8298)  1 Na 2.76, 2 Sn 2.94
Se (0.3761, 0.3761, 0.5407)  1 Sn 2.74, 3 Na 2.79-2.92
Se (0.6239, 0.6239, 0.4593)  1 Sn 2.74, 3 Na 2.79-2.92
Se (0.8532, 0.8532, 0.1702)  1 Na 2.76, 2 Sn 2.94